1.
VASP calculation (PBE-GGA) on crystalline Sc3RhF at its relaxed geometry.

Geometry as POSCAR:
```
Sc3RhF
1.0
4.394 0.000 0.000
0.000 4.394 0.000
0.000 0.000 4.394
Sc Rh F
3 1 1
Direct
0.000 0.000 0.500 Sc
0.000 0.500 0.000 Sc
0.500 0.000 0.000 Sc
0.500 0.500 0.500 Rh
0.000 0.000 0.000 F
```

Summary:
Energy relative to the elements, uncorrected   -1.08 eV per atom
Space group   No. 221
Magnetization   0.0 μB per cell
Offset from the most stable computed form   0.0000 eV/atom

2.
VASP calculation (PBE-GGA) on crystalline Pr6Y8In at its relaxed geometry.

Geometry as POSCAR:
```
Pr6Y8In
1.0
9.601 0.000 0.000
-4.800 8.314 0.000
0.000 0.000 6.410
Pr Y In
6 8 1
Direct
0.090 0.452 0.313 Pr
0.362 0.910 0.313 Pr
0.452 0.362 0.687 Pr
0.548 0.638 0.313 Pr
0.638 0.090 0.687 Pr
0.910 0.548 0.687 Pr
0.039 0.261 0.808 Y
0.222 0.961 0.808 Y
0.261 0.222 0.192 Y
0.333 0.667 0.825 Y
0.667 0.333 0.175 Y
0.739 0.778 0.808 Y
0.778 0.039 0.192 Y
0.961 0.739 0.192 Y
0.000 0.000 0.500 In
```

Summary:
ΔH_f (0 K)   0.06 eV/atom
Space group   No. 147
Magnetization   0.0 μB per cell

3.
VASP calculation (PBE-GGA) on crystalline PuThTcAg at its relaxed geometry.

Geometry as POSCAR:
```
PuThTcAg
1.0
7.160 0.000 0.000
0.000 7.160 0.000
0.000 0.000 7.160
Pu Th Tc Ag
4 4 4 4
Direct
0.000 0.000 0.000 Pu
0.000 0.500 0.500 Pu
0.500 0.000 0.500 Pu
0.500 0.500 0.000 Pu
0.000 0.000 0.500 Th
0.000 0.500 0.000 Th
0.500 0.000 0.000 Th
0.500 0.500 0.500 Th
0.250 0.250 0.750 Tc
0.250 0.750 0.250 Tc
0.750 0.250 0.250 Tc
0.750 0.750 0.750 Tc
0.250 0.250 0.250 Ag
0.250 0.750 0.750 Ag
0.750 0.250 0.750 Ag
0.750 0.750 0.250 Ag
```

Summary:
ΔH_f (0 K)   0.09 eV/atom
Space group   No. 216
Magnetization   22.0 μB per cell

Q: Which formula does entry 3 have?
A: PuThTcAg

Q: Look up the magnetization of the third one.
A: 22.0 μB per cell

Q: What is the formula in the first record?
A: Sc3RhF